# 1
A relaxed LiNbSiNi crystal, computed with PBE.

a = 5.905 Å, b = 5.905 Å, c = 5.905 Å
α = 90.00°, β = 90.00°, γ = 90.00°
Space group F-43m (No. 216)
Symmetry-distinct sites (fractional):
Li 0.000 0.000 0.000 (multiplicity 4)
Nb 0.250 0.250 0.750 (multiplicity 4)
Si 0.250 0.250 0.250 (multiplicity 4)
Ni 0.000 0.000 0.500 (multiplicity 4)

For the final energy, the calculation gives -5.873 eV/atom. The calculation puts the calculated density at 6.021 g cm⁻³.

***

# 2
A relaxed SrLiNbNi crystal, computed with PBE.

a = 6.795 Å, b = 6.795 Å, c = 6.795 Å
α = 90.00°, β = 90.00°, γ = 90.00°
Space group F-43m (No. 216)
Symmetry-distinct sites (fractional):
Sr 0.000 0.000 0.000 (multiplicity 4)
Li 0.250 0.250 0.250 (multiplicity 4)
Nb 0.000 0.000 0.500 (multiplicity 4)
Ni 0.250 0.250 0.750 (multiplicity 4)

For the final energy, the calculation gives -4.190 eV/atom. The calculation puts the calculated density at 5.210 g cm⁻³.

***

# 3
A relaxed SrLiNbNi crystal, computed with PBE.

a = 6.596 Å, b = 6.596 Å, c = 6.596 Å
α = 90.00°, β = 90.00°, γ = 90.00°
Space group F-43m (No. 216)
Symmetry-distinct sites (fractional):
Sr 0.000 0.000 0.000 (multiplicity 4)
Li 0.250 0.250 0.250 (multiplicity 4)
Nb 0.250 0.250 0.750 (multiplicity 4)
Ni 0.000 0.000 0.500 (multiplicity 4)

For the final energy, the calculation gives -4.147 eV/atom. The calculation puts the calculated density at 5.698 g cm⁻³.

***

# 4
A relaxed SrLiNbNi crystal, computed with PBE.

a = 6.950 Å, b = 6.950 Å, c = 6.950 Å
α = 90.00°, β = 90.00°, γ = 90.00°
Space group F-43m (No. 216)
Symmetry-distinct sites (fractional):
Sr 0.000 0.000 0.000 (multiplicity 4)
Li 0.000 0.000 0.500 (multiplicity 4)
Nb 0.250 0.250 0.250 (multiplicity 4)
Ni 0.250 0.250 0.750 (multiplicity 4)

For the final energy, the calculation gives -3.837 eV/atom. The calculation puts the calculated density at 4.870 g cm⁻³.

***

# 5
A relaxed LiNbTlNi crystal, computed with PBE.

a = 6.399 Å, b = 6.399 Å, c = 6.399 Å
α = 90.00°, β = 90.00°, γ = 90.00°
Space group F-43m (No. 216)
Symmetry-distinct sites (fractional):
Li 0.000 0.000 0.000 (multiplicity 4)
Nb 0.250 0.250 0.250 (multiplicity 4)
Tl 0.000 0.000 0.500 (multiplicity 4)
Ni 0.250 0.250 0.750 (multiplicity 4)

For the final energy, the calculation gives -4.541 eV/atom. The calculation puts the calculated density at 9.202 g cm⁻³.

***

# 6
A relaxed LiNbTlNi crystal, computed with PBE.

a = 6.262 Å, b = 6.262 Å, c = 6.262 Å
α = 90.00°, β = 90.00°, γ = 90.00°
Space group F-43m (No. 216)
Symmetry-distinct sites (fractional):
Li 0.000 0.000 0.000 (multiplicity 4)
Nb 0.250 0.250 0.750 (multiplicity 4)
Tl 0.250 0.250 0.250 (multiplicity 4)
Ni 0.000 0.000 0.500 (multiplicity 4)

For the final energy, the calculation gives -4.851 eV/atom. The calculation puts the calculated density at 9.819 g cm⁻³.

***

# 7
A relaxed LiNbZnNi crystal, computed with PBE.

a = 6.041 Å, b = 6.041 Å, c = 6.041 Å
α = 90.00°, β = 90.00°, γ = 90.00°
Space group F-43m (No. 216)
Symmetry-distinct sites (fractional):
Li 0.000 0.000 0.000 (multiplicity 4)
Nb 0.000 0.000 0.500 (multiplicity 4)
Zn 0.250 0.250 0.750 (multiplicity 4)
Ni 0.250 0.250 0.250 (multiplicity 4)

For the final energy, the calculation gives -4.742 eV/atom. The calculation puts the calculated density at 6.748 g cm⁻³.

***

# 8
A relaxed LiNbZnNi crystal, computed with PBE.

a = 5.950 Å, b = 5.950 Å, c = 5.950 Å
α = 90.00°, β = 90.00°, γ = 90.00°
Space group F-43m (No. 216)
Symmetry-distinct sites (fractional):
Li 0.000 0.000 0.000 (multiplicity 4)
Nb 0.250 0.250 0.250 (multiplicity 4)
Zn 0.250 0.250 0.750 (multiplicity 4)
Ni 0.000 0.000 0.500 (multiplicity 4)

For the final energy, the calculation gives -4.840 eV/atom. The calculation puts the calculated density at 7.060 g cm⁻³.